1.
The following is a DFT calculation (GGA-PBE) of a relaxed structure of TlRe2Br.

Unit cell a=6.4453 b=6.4453 c=6.4453 alpha=149.42 beta=134.36 gamma=55.94
Atoms (fractional coordinates):
Tl1 0.0000 0.0000 0.0000
Re1 0.5103 0.5103 0.0000
Re2 0.6500 0.1500 0.5000
Br1 0.2901 0.7901 0.5000

Values from the calculation:
spin magnetization: 0.001 μB per formula unit
VASP energy: -6.218 eV/atom
D(E_F): 3.311 states/eV/cell
space-group type: No. 44
ΔE_f (raw): 1016 meV/atom
V: 96.8 Å³/cell

---

2.
The following is a DFT calculation (GGA-PBE) of a relaxed structure of TlRe2Br.

Unit cell a=3.6881 b=5.0586 c=5.3555 alpha=90.00 beta=95.02 gamma=90.00
Atoms (fractional coordinates):
Tl1 0.0000 0.0000 0.0000
Re1 0.2824 0.5000 0.1395
Re2 0.7176 0.5000 0.8605
Br1 0.5000 0.0000 0.5000

Values from the calculation:
spin magnetization: 0.000 μB per formula unit
VASP energy: -6.120 eV/atom
D(E_F): 3.303 states/eV/cell
space-group type: No. 10
ΔE_f (raw): 1114 meV/atom
V: 99.5 Å³/cell

---

3.
The following is a DFT calculation (GGA-PBE) of a relaxed structure of TlRe2Br.

Unit cell a=2.8942 b=4.9820 c=5.1488 alpha=90.00 beta=90.00 gamma=90.00
Atoms (fractional coordinates):
Tl1 0.0000 0.0000 0.0000
Re1 0.0000 0.5000 0.5000
Re2 0.5000 0.5000 0.0000
Br1 0.5000 0.0000 0.5000

Values from the calculation:
spin magnetization: 0.000 μB per formula unit
VASP energy: -5.888 eV/atom
D(E_F): 3.468 states/eV/cell
space-group type: No. 47
ΔE_f (raw): 1346 meV/atom
V: 74.2 Å³/cell

---

4.
The following is a DFT calculation (GGA-PBE) of a relaxed structure of TlRe2Br.

Unit cell a=4.8170 b=4.8170 c=5.8226 alpha=104.44 beta=104.44 gamma=36.11
Atoms (fractional coordinates):
Tl1 0.0000 0.0000 0.0000
Re1 0.2562 0.2562 0.6878
Re2 0.7438 0.7438 0.3122
Br1 0.5000 0.5000 0.5000

Values from the calculation:
spin magnetization: 0.000 μB per formula unit
VASP energy: -5.964 eV/atom
D(E_F): 3.646 states/eV/cell
space-group type: No. 12
ΔE_f (raw): 1270 meV/atom
V: 76.8 Å³/cell

---

5.
The following is a DFT calculation (GGA-PBE) of a relaxed structure of Tl4ReBr.

Unit cell a=6.3432 b=6.3432 c=6.3432 alpha=60.00 beta=60.00 gamma=60.00
Atoms (fractional coordinates):
Tl1 0.1253 0.1253 0.1253
Tl2 0.1253 0.1253 0.6241
Tl3 0.1253 0.6241 0.1253
Tl4 0.6241 0.1253 0.1253
Re1 0.5000 0.5000 0.5000
Br1 0.7500 0.7500 0.7500

Values from the calculation:
spin magnetization: 3.796 μB per formula unit
VASP energy: -3.004 eV/atom
D(E_F): 3.807 states/eV/cell
space-group type: No. 216
ΔE_f (raw): 927 meV/atom
V: 180.5 Å³/cell

---

6.
The following is a DFT calculation (GGA-PBE) of a relaxed structure of VReBr2.

Unit cell a=8.6784 b=8.6784 c=8.6784 alpha=20.61 beta=20.61 gamma=20.61
Atoms (fractional coordinates):
V1 0.0000 0.0000 0.0000
Re1 0.5000 0.5000 0.5000
Br1 0.4034 0.4034 0.4034
Br2 0.5966 0.5966 0.5966

Values from the calculation:
spin magnetization: 1.482 μB per formula unit
VASP energy: -5.551 eV/atom
D(E_F): 4.232 states/eV/cell
space-group type: No. 166
ΔE_f (raw): 677 meV/atom
V: 70.9 Å³/cell

---

7.
The following is a DFT calculation (GGA-PBE) of a relaxed structure of VRe2Br.

Unit cell a=10.4716 b=10.4716 c=10.4716 alpha=159.34 beta=159.34 gamma=29.38
Atoms (fractional coordinates):
V1 0.0000 0.0000 0.0000
V2 0.7500 0.2500 0.5000
Re1 0.0760 0.6250 0.9510
Re2 0.3750 0.3260 0.4510
Re3 0.6740 0.1250 0.0490
Re4 0.8750 0.9240 0.5490
Br1 0.2500 0.7500 0.5000
Br2 0.5000 0.5000 0.0000

Values from the calculation:
spin magnetization: 2.037 μB per formula unit
VASP energy: -7.882 eV/atom
D(E_F): 6.957 states/eV/cell
space-group type: No. 122
ΔE_f (raw): 1040 meV/atom
V: 142.8 Å³/cell

---

8.
The following is a DFT calculation (GGA-PBE) of a relaxed structure of V3ReBr.

Unit cell a=4.3784 b=4.3784 c=4.3784 alpha=90.00 beta=90.00 gamma=90.00
Atoms (fractional coordinates):
V1 0.0000 0.0000 0.5000
V2 0.0000 0.5000 0.0000
V3 0.5000 0.0000 0.0000
Re1 0.5000 0.5000 0.5000
Br1 0.0000 0.0000 0.0000

Values from the calculation:
spin magnetization: 1.226 μB per formula unit
VASP energy: -6.933 eV/atom
D(E_F): 7.078 states/eV/cell
space-group type: No. 221
ΔE_f (raw): 1363 meV/atom
V: 83.9 Å³/cell

---

9.
The following is a DFT calculation (GGA-PBE) of a relaxed structure of VRe2Br.

Unit cell a=4.4179 b=4.4179 c=4.4179 alpha=60.00 beta=60.00 gamma=60.00
Atoms (fractional coordinates):
V1 0.0000 0.0000 0.0000
Re1 0.2500 0.2500 0.2500
Re2 0.7500 0.7500 0.7500
Br1 0.5000 0.5000 0.5000

Values from the calculation:
spin magnetization: 0.000 μB per formula unit
VASP energy: -7.860 eV/atom
D(E_F): 4.058 states/eV/cell
space-group type: No. 225
ΔE_f (raw): 1062 meV/atom
V: 61.0 Å³/cell

---

10.
The following is a DFT calculation (GGA-PBE) of a relaxed structure of V3ReBr.

Unit cell a=4.7761 b=4.7761 c=4.7761 alpha=90.00 beta=90.00 gamma=90.00
Atoms (fractional coordinates):
V1 0.0000 0.0000 0.5000
V2 0.0000 0.5000 0.0000
V3 0.5000 0.0000 0.0000
Re1 0.0000 0.0000 0.0000
Br1 0.5000 0.5000 0.5000

Values from the calculation:
spin magnetization: 4.976 μB per formula unit
VASP energy: -7.044 eV/atom
D(E_F): 9.324 states/eV/cell
space-group type: No. 221
ΔE_f (raw): 1252 meV/atom
V: 108.9 Å³/cell

---

11.
The following is a DFT calculation (GGA-PBE) of a relaxed structure of VReBr2.

Unit cell a=8.6255 b=8.6255 c=8.6255 alpha=150.79 beta=150.79 gamma=41.79
Atoms (fractional coordinates):
V1 0.0000 0.0000 0.0000
V2 0.7500 0.2500 0.5000
Re1 0.2500 0.7500 0.5000
Re2 0.5000 0.5000 0.0000
Br1 0.1255 0.6250 0.0005
Br2 0.3750 0.3755 0.5005
Br3 0.6245 0.1250 0.9995
Br4 0.8750 0.8745 0.4995

Values from the calculation:
spin magnetization: 0.942 μB per formula unit
VASP energy: -5.344 eV/atom
D(E_F): 8.873 states/eV/cell
space-group type: No. 122
ΔE_f (raw): 884 meV/atom
V: 152.5 Å³/cell

---

12.
The following is a DFT calculation (GGA-PBE) of a relaxed structure of ReWBr2.

Unit cell a=4.5546 b=4.5546 c=3.2113 alpha=90.00 beta=90.00 gamma=90.00
Atoms (fractional coordinates):
Re1 0.0000 0.0000 0.0000
W1 0.5000 0.5000 0.0000
Br1 0.0000 0.5000 0.5000
Br2 0.5000 0.0000 0.5000

Values from the calculation:
spin magnetization: 0.000 μB per formula unit
VASP energy: -5.483 eV/atom
D(E_F): 3.902 states/eV/cell
space-group type: No. 123
ΔE_f (raw): 1704 meV/atom
V: 66.6 Å³/cell